AgAuBr4 | PBE-GGA | relaxed

Values from the calculation:
**Total moment**: 0.0 μB per formula unit
**Formation energy from raw total energies**: -0.21 eV/atom

a = 6.956 Å, b = 4.365 Å, c = 13.895 Å
α = 90.00°, β = 118.46°, γ = 90.00°
Atoms (fractional coordinates):
Ag1 0.000 0.000 0.000
Ag2 0.000 0.500 0.500
Au1 0.500 0.000 0.500
Au2 0.500 0.500 0.000
Br1 0.196 0.180 0.863
Br2 0.196 0.320 0.363
Br3 0.311 0.528 0.113
Br4 0.311 0.972 0.613
Br5 0.689 0.028 0.387
Br6 0.689 0.472 0.887
Br7 0.804 0.680 0.637
Br8 0.804 0.820 0.137